First-principles (PBE) data for an optimized crystal structure of RbSiCl6, as listed in Alexandria via LeMat-Bulk.

It has space group C2/m (No. 12), with a = 8.0634 Å, b = 9.6501 Å, c = 6.2995 Å, α = 90.00°, β = 106.74° and γ = 90.00°. The distinct sites, in fractional coordinates, are Rb at (0.0000, 0.0000, 0.0000), Si at (0.0000, 0.5000, 0.5000), Cl at (0.0955, 0.3383, 0.7556) and Cl at (0.2453, 0.0000, 0.5678).

The value obtained for the density of states at the Fermi level is 1.398 states/eV/atom. Its uncorrected formation energy is -1.053 eV/atom. Its total magnetization is 0.1258 μB per atom.